No. 1
DFT (PBE-GGA) results for a relaxed Sm3Tm7 crystal.

The calculation puts the volume at 621.0 Å³/cell. As for the total energy: -4.523 eV/atom. The value obtained for the formation energy is 0.02 eV per atom. The polymorph energy (0 for the lowest one) comes out at 0.0000 eV/atom. The calculated density is 8.74 g/cm3.

The structure belongs to space group C2/m (No. 12); the cell edges are 17.996, 4.982 and 7.065 Å and the angles 90.00°, 101.40° and 90.00°. The asymmetric unit holds Sm at (0.000, 0.000, 0.000), Sm at (0.199, 0.000, 0.600), Tm at (0.000, 0.000, 0.500), Tm at (0.099, 0.500, 0.300), Tm at (0.100, 0.500, 0.801) and Tm at (0.200, 0.000, 0.100).

---

No. 2
DFT (PBE-GGA) results for a relaxed Sm3Tm crystal.

The calculation puts the volume at 265.3 Å³/cell. As for the total energy: -4.639 eV/atom. The value obtained for the formation energy is 0.02 eV per atom. The polymorph energy (0 for the lowest one) comes out at 0.0018 eV/atom. The calculated density is 7.76 g/cm3.

The structure belongs to space group P6_3/mmc (No. 194); the cell edges are 7.2946, 7.2946 and 5.7577 Å and the angles 90.00°, 90.00° and 120.00°. The asymmetric unit holds Sm at (0.1674, 0.3349, 0.2500) and Tm at (0.3333, 0.6667, 0.7500).

---

No. 3
DFT (PBE-GGA) results for a relaxed Sm3Tm crystal.

The calculation puts the volume at 262.3 Å³/cell. As for the total energy: -4.641 eV/atom. The value obtained for the formation energy is 0.02 eV per atom. The polymorph energy (0 for the lowest one) comes out at 0.0000 eV/atom. The calculated density is 7.85 g/cm3.

The structure belongs to space group I4/mmm (No. 139); the cell edges are 5.088, 5.088 and 10.132 Å and the angles 90.00°, 90.00° and 90.00°. The asymmetric unit holds Sm at (0.000, 0.000, 0.000), Sm at (0.000, 0.500, 0.250) and Tm at (0.000, 0.000, 0.500).

---

No. 4
DFT (PBE-GGA) results for a relaxed Sm3Tm crystal.

The calculation puts the volume at 530.4 Å³/cell. As for the total energy: -4.615 eV/atom. The value obtained for the formation energy is 0.04 eV per atom. The polymorph energy (0 for the lowest one) comes out at 0.0261 eV/atom. The calculated density is 7.76 g/cm3.

The structure belongs to space group Cmcm (No. 63); the cell edges are 3.574, 26.190 and 5.666 Å and the angles 90.00°, 90.00° and 90.00°. The asymmetric unit holds Sm at (0.000, 0.042, 0.250), Sm at (0.000, 0.211, 0.750), Sm at (0.000, 0.413, 0.250) and Tm at (0.000, 0.343, 0.750).

---

No. 5
DFT (PBE-GGA) results for a relaxed Sm4Tm crystal.

The calculation puts the volume at 190.6 Å³/cell. As for the total energy: -4.005 eV/atom. The value obtained for the formation energy is 0.66 eV per atom. The polymorph energy (0 for the lowest one) comes out at 0.6499 eV/atom. The calculated density is 6.71 g/cm3.

The structure belongs to space group Pm-3m (No. 221); the cell edges are 5.755, 5.755 and 5.755 Å and the angles 90.00°, 90.00° and 90.00°. The asymmetric unit holds Sm at (0.000, 0.000, 0.000), Sm at (0.000, 0.500, 0.500) and Tm at (0.500, 0.500, 0.500).

---

No. 6
DFT (PBE-GGA) results for a relaxed SmTm7 crystal.

The calculation puts the volume at 970.9 Å³/cell. As for the total energy: -4.474 eV/atom. The value obtained for the formation energy is 0.03 eV per atom. The calculated density is 9.12 g/cm3.

The structure belongs to space group Fm-3m (No. 225); the cell edges are 9.902, 9.902 and 9.902 Å and the angles 90.00°, 90.00° and 90.00°. The asymmetric unit holds Sm at (0.000, 0.000, 0.000), Tm at (0.000, 0.000, 0.500) and Tm at (0.000, 0.250, 0.250).